The following is a PBE calculation of crystalline NbTc2Sn at its relaxed geometry, from Alexandria via LeMat-Bulk.

Lattice parameters (Å, degrees): 7.288 7.288 5.882 51.72 51.72 90.00
Last column: magnetic moment on the atom in μB.
Sites, in units of the cell vectors:
Nb: 0.500 0.500 0.000  -0.07
Nb: 0.250 0.750 0.500  -0.08
Sn: 0.000 0.000 0.000  0.01
Sn: 0.750 0.250 0.500  0.01
Tc: 0.594 0.125 0.250  0.50
Tc: 0.156 0.625 0.250  0.52
Tc: 0.375 0.406 0.750  0.50
Tc: 0.875 0.844 0.750  0.52

Summary:
The calculation puts the total energy at -8.012 eV/atom. The space group is I-42d, No. 122. For the formation energy, the calculation gives 0.6891 eV per atom.

=====

The following is a PBE calculation of crystalline FeNi4Se at its relaxed geometry, from Alexandria via LeMat-Bulk.

Lattice parameters (Å, degrees): 4.760 4.760 4.760 60.00 60.00 60.00
Last column: magnetic moment on the atom in μB.
Sites, in units of the cell vectors:
Fe: 0.000 0.000 0.000  3.11
Ni: 0.626 0.626 0.123  0.65
Ni: 0.626 0.123 0.626  0.65
Ni: 0.626 0.626 0.626  0.65
Ni: 0.123 0.626 0.626  0.65
Se: 0.250 0.250 0.250  0.07

Summary:
The calculation puts the total energy at -5.576 eV/atom. The space group is F-43m, No. 216. As for the formation energy (no corrections): 269 meV/atom.

=====

The following is a PBE calculation of crystalline Sr2HgP at its relaxed geometry, from Alexandria via LeMat-Bulk.

Lattice parameters (Å, degrees): 4.505 4.505 8.196 74.12 74.12 59.96
Sites, in units of the cell vectors:
Sr: 0.017 0.017 0.949
Sr: 0.483 0.483 0.551
Hg: 0.250 0.250 0.250
P: 0.750 0.750 0.750

Summary:
The calculation puts the total energy at -3.046 eV/atom. The space group is C2/m, No. 12. For the formation energy, the calculation gives -0.7773 eV per atom. For the offset from the most stable computed form, the calculation gives 3.9 kJ/mol of atoms.

=====

The following is a PBE calculation of crystalline YAg4Sn at its relaxed geometry, from Alexandria via LeMat-Bulk.

Lattice parameters (Å, degrees): 5.632 5.632 5.632 60.00 60.00 60.00
Sites, in units of the cell vectors:
Y: 0.000 0.000 0.000
Sn: 0.250 0.250 0.250
Ag: 0.625 0.625 0.124
Ag: 0.625 0.124 0.625
Ag: 0.625 0.625 0.625
Ag: 0.124 0.625 0.625

Summary:
The calculation puts the total energy at -3.816 eV/atom. The space group is F-43m, No. 216. For the formation energy, the calculation gives -0.1709 eV per atom.

=====

The following is a PBE calculation of crystalline VTeCI2 at its relaxed geometry, from Alexandria via LeMat-Bulk.

Lattice parameters (Å, degrees): 4.952 4.952 4.767 90.00 90.00 90.00
Last column: magnetic moment on the atom in μB.
Sites, in units of the cell vectors:
I: 0.000 0.500 0.000  0.00
I: 0.500 0.000 0.000  0.00
C: 0.000 0.000 0.000  -0.02
Te: 0.000 0.000 0.500  0.01
V: 0.500 0.500 0.500  -0.32

Summary:
The calculation puts the total energy at -3.380 eV/atom. The space group is P4/mmm, No. 123. As for the formation energy (no corrections): 1536 meV/atom. For the offset from the most stable computed form, the calculation gives 9.9 kJ/mol of atoms.

=====

The following is a PBE calculation of crystalline Nd5TlOs2 at its relaxed geometry, from Alexandria via LeMat-Bulk.

Lattice parameters (Å, degrees): 7.934 7.934 9.132 115.75 115.75 90.00
Sites, in units of the cell vectors:
Nd: 0.539 0.700 0.739
Nd: 0.800 0.961 0.261
Nd: 0.000 0.000 0.000
Nd: 0.500 0.500 0.000
Nd: 0.200 0.039 0.739
Nd: 0.700 0.200 0.739
Nd: 0.039 0.539 0.739
Nd: 0.300 0.800 0.261
Nd: 0.961 0.461 0.261
Nd: 0.461 0.300 0.261
Tl: 0.750 0.750 0.500
Tl: 0.250 0.250 0.500
Os: 0.127 0.373 0.000
Os: 0.627 0.127 0.000
Os: 0.373 0.873 0.000
Os: 0.873 0.627 0.000

Summary:
The calculation puts the total energy at -6.269 eV/atom. The space group is I4/mcm, No. 140. For the formation energy, the calculation gives -0.1857 eV per atom.

=====

The following is a PBE calculation of crystalline ZnNi3Os at its relaxed geometry, from Alexandria via LeMat-Bulk.

Lattice parameters (Å, degrees): 4.210 4.210 4.210 90.00 90.00 90.00
Last column: magnetic moment on the atom in μB.
Sites, in units of the cell vectors:
Ni: 0.000 0.500 0.000  0.49
Ni: 0.000 0.000 0.500  0.30
Ni: 0.500 0.000 0.000  0.79
Zn: 0.000 0.000 0.000  -0.04
Os: 0.500 0.500 0.500  1.76

Summary:
The calculation puts the total energy at -4.577 eV/atom. The space group is Pm-3m, No. 221. For the formation energy, the calculation gives 1.3922 eV per atom. For the offset from the most stable computed form, the calculation gives 6.8 kJ/mol of atoms.

=====

The following is a PBE calculation of crystalline ErTm8Cd6 at its relaxed geometry, from Alexandria via LeMat-Bulk.

Lattice parameters (Å, degrees): 8.859 8.859 8.126 56.97 56.97 60.00
Sites, in units of the cell vectors:
Er: 0.000 0.000 0.000
Tm: 0.551 0.218 0.347
Tm: 0.782 0.115 0.653
Tm: 0.115 0.449 0.653
Tm: 0.666 0.666 0.001
Tm: 0.334 0.334 0.999
Tm: 0.885 0.551 0.347
Tm: 0.218 0.885 0.347
Tm: 0.449 0.782 0.653
Cd: 0.387 0.053 0.841
Cd: 0.947 0.281 0.159
Cd: 0.281 0.613 0.159
Cd: 0.719 0.387 0.841
Cd: 0.053 0.719 0.841
Cd: 0.613 0.947 0.159

Summary:
The calculation puts the total energy at -3.108 eV/atom. The space group is R-3, No. 148. For the formation energy, the calculation gives -0.0531 eV per atom.

=====

The following is a PBE calculation of crystalline Re2SiTc at its relaxed geometry, from Alexandria via LeMat-Bulk.

Lattice parameters (Å, degrees): 3.987 2.797 5.377 74.22 90.00 90.00
Sites, in units of the cell vectors:
Re: 0.000 0.044 0.016
Re: 0.500 0.441 0.238
Si: 0.000 0.307 0.533
Tc: 0.500 0.707 0.713

Summary:
The calculation puts the total energy at -10.206 eV/atom. The space group is Pm, No. 6. As for the formation energy (no corrections): -35 meV/atom.

=====

The following is a PBE calculation of crystalline ZrPH at its relaxed geometry, from Alexandria via LeMat-Bulk.

Lattice parameters (Å, degrees): 3.480 3.480 6.377 90.00 90.00 90.00
Sites, in units of the cell vectors:
Zr: 0.000 0.500 0.203
Zr: 0.500 0.000 0.797
P: 0.000 0.500 0.630
P: 0.500 0.000 0.370
H: 0.000 0.000 0.000
H: 0.500 0.500 0.000

Summary:
The calculation puts the total energy at -6.601 eV/atom. The space group is P4/nmm, No. 129. For the offset from the most stable computed form, the calculation gives 18.9 kJ/mol of atoms.

=====

The following is a PBE calculation of crystalline BaCaBi at its relaxed geometry, from Alexandria via LeMat-Bulk.

Lattice parameters (Å, degrees): 7.618 5.064 15.032 90.00 110.94 90.00
Sites, in units of the cell vectors:
Ca: 0.154 0.000 0.818
Ca: 0.154 0.500 0.318
Ca: 0.545 0.000 0.402
Ca: 0.545 0.500 0.902
Bi: 0.776 0.000 0.865
Bi: 0.776 0.500 0.365
Bi: 0.182 0.000 0.202
Bi: 0.182 0.500 0.702
Ba: 0.103 0.000 0.524
Ba: 0.103 0.500 0.024
Ba: 0.670 0.000 0.166
Ba: 0.670 0.500 0.666

Summary:
The calculation puts the total energy at -3.266 eV/atom. The space group is Cm, No. 8. For the formation energy, the calculation gives -0.6647 eV per atom. For the offset from the most stable computed form, the calculation gives 17.2 kJ/mol of atoms.

=====

The following is a PBE calculation of crystalline Dy8Er5Sc at its relaxed geometry, from Alexandria via LeMat-Bulk.

Lattice parameters (Å, degrees): 8.880 8.617 8.880 83.74 125.14 123.12
Sites, in units of the cell vectors:
Dy: 0.119 0.695 0.049
Dy: 0.989 0.054 0.561
Dy: 0.003 0.424 0.324
Dy: 0.598 0.371 0.885
Dy: 0.513 0.629 0.226
Dy: 0.507 0.946 0.935
Dy: 0.354 0.305 0.424
Dy: 0.900 0.576 0.579
Er: 0.971 0.244 0.942
Er: 0.927 0.825 0.201
Er: 0.699 0.756 0.727
Er: 0.504 0.000 0.504
Er: 0.377 0.175 0.102
Sc: 0.290 0.500 0.790

Summary:
The calculation puts the total energy at -4.517 eV/atom. The space group is C2, No. 5. For the formation energy, the calculation gives 0.1943 eV per atom.

=====

Going through the records in order, we get magnetic moment values of 1.06 5.66 0.00 0.00 0.39 0.00 3.37 0.00 0.00 0.00 0.01 0.00 μB per formula unit.
Going through the records in order, we get Fermi-level density of states values of 1.077 0.967 0.422 0.874 1.365 0.857 3.213 1.094 1.041 0.282 0.235 1.537 states/eV per atom.